Below is a relaxed NaGe crystal, with properties calculated at the PBE level.

Unit cell a=10.401 b=4.994 c=3.935 alpha=90.00 beta=112.17 gamma=90.00
Element x y z (fractional)
Na1 0.145 0.000 0.394
Na2 0.355 0.500 0.606
Na3 0.645 0.500 0.394
Na4 0.855 0.000 0.606
Ge1 0.079 0.500 0.829
Ge2 0.421 0.000 0.171
Ge3 0.579 0.000 0.829
Ge4 0.921 0.500 0.171

## Properties
DFT total energy, Ry per atom: -0.2250
ΔH_f (0 K), kJ/mol of formula units: -18
Crystal system: monoclinic
Spin magnetization, μB/cell: 0.00
Symmetry: No. 12